No. 1
A relaxed structure of K2MgRe, computed with PBE.

Cell and atoms, written as extended XYZ:
```
4
Lattice="-1.395 3.249 6.865 1.395 -3.249 6.865 1.395 3.249 -6.865" Properties=species:S:1:pos:R:3 pbc="T T T"
K 0.000 0.000 0.000
K 0.000 3.249 2.667
Mg 0.000 0.000 5.557
Re 1.395 0.000 3.221
```

Summary:
crystal system	orthorhombic


No. 2
A relaxed structure of KMg2Re, computed with PBE.

Cell and atoms, written as extended XYZ:
```
4
Lattice="2.902 0.000 0.000 0.000 3.808 0.000 0.000 0.000 8.914" Properties=species:S:1:pos:R:3 pbc="T T T"
K 0.000 0.000 0.000
Mg 1.451 1.904 2.973
Mg 1.451 1.904 5.941
Re 0.000 0.000 4.457
```

Summary:
crystal system	orthorhombic


No. 3
A relaxed structure of KMg2Re, computed with PBE.

Cell and atoms, written as extended XYZ:
```
4
Lattice="-1.385 2.438 8.468 1.385 -2.438 8.468 1.385 2.438 -8.468" Properties=species:S:1:pos:R:3 pbc="T T T"
K 0.000 0.000 0.000
Mg 1.385 0.000 5.280
Mg 0.000 0.000 11.411
Re 0.000 2.438 5.293
```

Summary:
crystal system	orthorhombic


No. 4
A relaxed structure of KMg2Re, computed with PBE.

Cell and atoms, written as extended XYZ:
```
4
Lattice="2.779 0.000 0.000 0.000 4.730 0.000 -0.276 0.000 8.203" Properties=species:S:1:pos:R:3 pbc="T T T"
K 0.000 0.000 0.000
Mg 1.470 2.365 3.067
Mg 1.456 0.000 4.924
Re 0.079 2.365 5.469
```

Summary:
crystal system	monoclinic


no.,DFT formation energy (eV per atom)
1,1.113
2,0.621
3,0.710
4,0.701